Record 1
Zr2ScHgBi: PBEsol geometry, meta-GGA SCAN.

Lattice parameters (Å, degrees): 5.354 5.354 5.247 90.00 90.00 90.00
Space group P4/mmm (No. 123)
One atom of each set of equivalent atoms:
Zr: 0.000 0.500 0.000 x2
Sc: 0.000 0.000 0.500 x1
Hg: 0.500 0.500 0.500 x1
Bi: 0.000 0.000 0.000 x1

For the energy of formation, the calculation gives 0.72 eV/atom. The calculation puts the total magnetization at 0.00 Bohr magnetons per cell.

Record 2
TiHg2BiSe: PBEsol geometry, meta-GGA SCAN.

Lattice parameters (Å, degrees): 5.484 5.484 5.447 90.00 90.00 90.00
Space group P4/mmm (No. 123)
One atom of each set of equivalent atoms:
Ti: 0.000 0.000 0.000 x1
Hg: 0.000 0.500 0.500 x2
Bi: 0.000 0.000 0.500 x1
Se: 0.500 0.500 0.000 x1

The calculation puts the total magnetization at 1.80 Bohr magnetons per cell. Its formation energy without anion corrections is 3.1 eV per formula unit.

Record 3
SiHg3Bi: PBEsol geometry, meta-GGA SCAN.

Lattice parameters (Å, degrees): 5.678 5.678 5.678 90.00 90.00 90.00
Space group Pm-3m (No. 221)
One atom of each set of equivalent atoms:
Si: 0.000 0.000 0.000 x1
Hg: 0.000 0.500 0.500 x3
Bi: 0.500 0.500 0.500 x1

The calculation puts the total magnetization at 2.34 Bohr magnetons per cell. Its formation energy without anion corrections is 4.5 eV per formula unit.